Record 1
# PBE YTa4Fe, optimized geometry
# Crystal system = cubic
# ΔH_f (0 K) = 46 kJ per mole of atoms
data_YTa4Fe
_chemical_formula_sum 'Y4 Ta16 Fe4'
_cell_length_a 7.8596
_cell_length_b 7.8596
_cell_length_c 7.8596
_cell_angle_alpha 90.00
_cell_angle_beta 90.00
_cell_angle_gamma 90.00
_space_group_name_H-M_alt 'F -4 3 m'
_space_group_IT_number 216
_space_group_name_Hall 'F -4 2 3'
loop_
_atom_site_label
_atom_site_type_symbol
_atom_site_fract_x
_atom_site_fract_y
_atom_site_fract_z
_atom_site_occupancy
Y1 Y 0.0000 0.0000 0.0000 1
Ta1 Ta 0.1260 0.1260 0.3740 1
Fe1 Fe 0.2500 0.2500 0.7500 1


Record 2
# PBE Y2TaFe, optimized geometry
# Crystal system = tetragonal
# ΔH_f (0 K) = 74 kJ per mole of atoms
# E above lowest polymorph = 660.3 meV per atom
data_Y2TaFe
_chemical_formula_sum 'Y8 Ta4 Fe4'
_cell_length_a 8.0213
_cell_length_b 8.0213
_cell_length_c 5.5672
_cell_angle_alpha 90.00
_cell_angle_beta 90.00
_cell_angle_gamma 90.00
_space_group_name_H-M_alt 'I -4 2 d'
_space_group_IT_number 122
_space_group_name_Hall 'I -4 2bw'
loop_
_atom_site_label
_atom_site_type_symbol
_atom_site_fract_x
_atom_site_fract_y
_atom_site_fract_z
_atom_site_occupancy
Y1 Y 0.1854 0.7500 0.1250 1
Ta1 Ta 0.0000 0.0000 0.5000 1
Fe1 Fe 0.0000 0.0000 0.0000 1


Record 3
# PBE Y2TaFe, optimized geometry
# Crystal system = orthorhombic
# ΔH_f (0 K) = 41 kJ per mole of atoms
# E above lowest polymorph = 320.5 meV per atom
data_Y2TaFe
_chemical_formula_sum 'Y4 Ta2 Fe2'
_cell_length_a 3.4019
_cell_length_b 4.7852
_cell_length_c 10.3539
_cell_angle_alpha 90.00
_cell_angle_beta 90.00
_cell_angle_gamma 90.00
_space_group_name_H-M_alt 'I m m m'
_space_group_IT_number 71
_space_group_name_Hall '-I 2 2'
loop_
_atom_site_label
_atom_site_type_symbol
_atom_site_fract_x
_atom_site_fract_y
_atom_site_fract_z
_atom_site_occupancy
Y1 Y 0.0000 0.0000 0.2015 1
Ta1 Ta 0.0000 0.5000 0.0000 1
Fe1 Fe 0.0000 0.5000 0.5000 1


Record 4
# PBE YTaFe, optimized geometry
# Crystal system = cubic
# ΔH_f (0 K) = 160 kJ per mole of atoms
# E above lowest polymorph = 1694.7 meV per atom
data_YTaFe
_chemical_formula_sum 'Y4 Ta4 Fe4'
_cell_length_a 6.4682
_cell_length_b 6.4682
_cell_length_c 6.4682
_cell_angle_alpha 90.00
_cell_angle_beta 90.00
_cell_angle_gamma 90.00
_space_group_name_H-M_alt 'F -4 3 m'
_space_group_IT_number 216
_space_group_name_Hall 'F -4 2 3'
loop_
_atom_site_label
_atom_site_type_symbol
_atom_site_fract_x
_atom_site_fract_y
_atom_site_fract_z
_atom_site_occupancy
Y1 Y 0.0000 0.0000 0.0000 1
Ta1 Ta 0.2500 0.2500 0.2500 1
Fe1 Fe 0.2500 0.2500 0.7500 1


Record 5
# PBE YTaFe4, optimized geometry
# Crystal system = cubic
# ΔH_f (0 K) = -5 kJ per mole of atoms
data_YTaFe4
_chemical_formula_sum 'Y4 Ta4 Fe16'
_cell_length_a 7.0533
_cell_length_b 7.0533
_cell_length_c 7.0533
_cell_angle_alpha 90.00
_cell_angle_beta 90.00
_cell_angle_gamma 90.00
_space_group_name_H-M_alt 'F -4 3 m'
_space_group_IT_number 216
_space_group_name_Hall 'F -4 2 3'
loop_
_atom_site_label
_atom_site_type_symbol
_atom_site_fract_x
_atom_site_fract_y
_atom_site_fract_z
_atom_site_occupancy
Y1 Y 0.0000 0.0000 0.0000 1
Ta1 Ta 0.2500 0.2500 0.2500 1
Fe1 Fe 0.1242 0.1242 0.6242 1


Record 6
# PBE YTa2Fe, optimized geometry
# Crystal system = orthorhombic
# ΔH_f (0 K) = 57 kJ per mole of atoms
# E above lowest polymorph = 457.6 meV per atom
data_YTa2Fe
_chemical_formula_sum 'Y2 Ta4 Fe2'
_cell_length_a 5.4758
_cell_length_b 9.7930
_cell_length_c 2.8491
_cell_angle_alpha 90.00
_cell_angle_beta 90.00
_cell_angle_gamma 90.00
_space_group_name_H-M_alt 'C m m m'
_space_group_IT_number 65
_space_group_name_Hall '-C 2 2'
loop_
_atom_site_label
_atom_site_type_symbol
_atom_site_fract_x
_atom_site_fract_y
_atom_site_fract_z
_atom_site_occupancy
Y1 Y 0.0000 0.0000 0.0000 1
Ta1 Ta 0.2500 0.2500 0.5000 1
Fe1 Fe 0.0000 0.5000 0.0000 1


Record 7
# PBE YTa2Fe, optimized geometry
# Crystal system = cubic
# ΔH_f (0 K) = 40 kJ per mole of atoms
# E above lowest polymorph = 274.2 meV per atom
data_YTa2Fe
_chemical_formula_sum 'Y4 Ta8 Fe4'
_cell_length_a 6.6833
_cell_length_b 6.6833
_cell_length_c 6.6833
_cell_angle_alpha 90.00
_cell_angle_beta 90.00
_cell_angle_gamma 90.00
_space_group_name_H-M_alt 'F -4 3 m'
_space_group_IT_number 216
_space_group_name_Hall 'F -4 2 3'
loop_
_atom_site_label
_atom_site_type_symbol
_atom_site_fract_x
_atom_site_fract_y
_atom_site_fract_z
_atom_site_occupancy
Y1 Y 0.0000 0.0000 0.0000 1
Ta1 Ta 0.0000 0.0000 0.5000 1
Ta2 Ta 0.2500 0.2500 0.2500 1
Fe1 Fe 0.2500 0.2500 0.7500 1


Record 8
# PBE Y2TaFe, optimized geometry
# Crystal system = cubic
# ΔH_f (0 K) = 66 kJ per mole of atoms
# E above lowest polymorph = 578.7 meV per atom
data_Y2TaFe
_chemical_formula_sum 'Y8 Ta4 Fe4'
_cell_length_a 6.9892
_cell_length_b 6.9892
_cell_length_c 6.9892
_cell_angle_alpha 90.00
_cell_angle_beta 90.00
_cell_angle_gamma 90.00
_space_group_name_H-M_alt 'F m -3 m'
_space_group_IT_number 225
_space_group_name_Hall '-F 4 2 3'
loop_
_atom_site_label
_atom_site_type_symbol
_atom_site_fract_x
_atom_site_fract_y
_atom_site_fract_z
_atom_site_occupancy
Y1 Y 0.2500 0.2500 0.2500 1
Ta1 Ta 0.0000 0.0000 0.0000 1
Fe1 Fe 0.0000 0.0000 0.5000 1


Record 9
# PBE YTaFe, optimized geometry
# Crystal system = tetragonal
# ΔH_f (0 K) = 13 kJ per mole of atoms
# E above lowest polymorph = 164.4 meV per atom
data_YTaFe
_chemical_formula_sum 'Y2 Ta2 Fe2'
_cell_length_a 3.2247
_cell_length_b 3.2247
_cell_length_c 11.2029
_cell_angle_alpha 90.00
_cell_angle_beta 90.00
_cell_angle_gamma 90.00
_space_group_name_H-M_alt 'I 4 m m'
_space_group_IT_number 107
_space_group_name_Hall 'I 4 -2'
loop_
_atom_site_label
_atom_site_type_symbol
_atom_site_fract_x
_atom_site_fract_y
_atom_site_fract_z
_atom_site_occupancy
Y1 Y 0.0000 0.0000 0.0000 1
Ta1 Ta 0.0000 0.0000 0.7095 1
Fe1 Fe 0.0000 0.0000 0.3101 1


Record 10
# PBE YTa2Fe, optimized geometry
# Crystal system = tetragonal
# ΔH_f (0 K) = 21 kJ per mole of atoms
# E above lowest polymorph = 79.1 meV per atom
data_YTa2Fe
_chemical_formula_sum 'Y1 Ta2 Fe1'
_cell_length_a 3.1074
_cell_length_b 3.1074
_cell_length_c 7.7570
_cell_angle_alpha 90.00
_cell_angle_beta 90.00
_cell_angle_gamma 90.00
_space_group_name_H-M_alt 'P 4/m m m'
_space_group_IT_number 123
_space_group_name_Hall '-P 4 2'
loop_
_atom_site_label
_atom_site_type_symbol
_atom_site_fract_x
_atom_site_fract_y
_atom_site_fract_z
_atom_site_occupancy
Y1 Y 0.0000 0.0000 0.0000 1
Ta1 Ta 0.5000 0.5000 0.3094 1
Fe1 Fe 0.0000 0.0000 0.5000 1


Record 11
# PBE YTa2Fe, optimized geometry
# Crystal system = trigonal
# ΔH_f (0 K) = 37 kJ per mole of atoms
# E above lowest polymorph = 248.9 meV per atom
data_YTa2Fe
_chemical_formula_sum 'Y3 Ta6 Fe3'
_cell_length_a 3.1274
_cell_length_b 3.1274
_cell_length_c 27.1730
_cell_angle_alpha 90.00
_cell_angle_beta 90.00
_cell_angle_gamma 120.00
_space_group_name_H-M_alt 'R 3 m'
_space_group_IT_number 160
_space_group_name_Hall 'R 3 -2"'
loop_
_atom_site_label
_atom_site_type_symbol
_atom_site_fract_x
_atom_site_fract_y
_atom_site_fract_z
_atom_site_occupancy
Y1 Y 0.0000 0.0000 0.0000 1
Ta1 Ta 0.0000 0.0000 0.5165 1
Ta2 Ta 0.0000 0.0000 0.7658 1
Fe1 Fe 0.0000 0.0000 0.2482 1


Record 12
# PBE YTa2Fe, optimized geometry
# Crystal system = orthorhombic
# ΔH_f (0 K) = 20 kJ per mole of atoms
# E above lowest polymorph = 70.4 meV per atom
data_YTa2Fe
_chemical_formula_sum 'Y2 Ta4 Fe2'
_cell_length_a 3.1220
_cell_length_b 4.7984
_cell_length_c 9.8966
_cell_angle_alpha 90.00
_cell_angle_beta 90.00
_cell_angle_gamma 90.00
_space_group_name_H-M_alt 'I m m m'
_space_group_IT_number 71
_space_group_name_Hall '-I 2 2'
loop_
_atom_site_label
_atom_site_type_symbol
_atom_site_fract_x
_atom_site_fract_y
_atom_site_fract_z
_atom_site_occupancy
Y1 Y 0.0000 0.0000 0.0000 1
Ta1 Ta 0.0000 0.5000 0.2192 1
Fe1 Fe 0.0000 0.0000 0.5000 1